# 1
Computed, not measured: an optimized crystal structure of CsPr2AgBr8 at the GGA-PBE level of DFT.

Structure (extended XYZ):
```
12
Lattice="-2.266 -1.699 -6.776 6.578 -1.573 -3.078 -0.953 -8.753 2.485" Properties=species:S:1:pos:R:3 pbc="T T T"
Cs -0.477 -4.377 1.243
Pr 1.435 -8.296 -3.040
Pr 1.923 -3.729 -4.330
Ag 0.000 0.000 0.000
Br 4.256 -3.209 -2.728
Br 3.323 -2.202 -6.445
Br -0.375 -3.658 -6.082
Br -0.898 -8.816 -4.641
Br 0.035 -9.824 -0.925
Br 3.734 -8.367 -1.287
Br 2.829 -6.522 -5.058
Br 0.529 -5.503 -2.311
```

Summary:
- final energy (eV/atom) = -3.782
- formation energy without anion corrections (meV per atom) = -1561
- total moment (Bohr magnetons per cell) = 0.00
- DOS(E_F) (states/eV/cell) = 0.00

---

# 2
Computed, not measured: an optimized crystal structure of Na5PH at the GGA-PBE level of DFT.

Structure (extended XYZ):
```
14
Lattice="-5.757 0.098 2.460 -0.751 -2.021 5.878 -0.829 8.097 6.235" Properties=species:S:1:pos:R:3 pbc="T T T"
Na -5.959 -0.116 6.829
Na -2.173 3.110 7.277
Na -4.859 3.291 10.981
Na -5.870 2.083 4.083
Na -3.781 6.351 11.641
Na -3.557 -0.177 2.932
Na -1.468 4.091 10.490
Na -2.479 2.883 3.592
Na -5.164 3.064 7.296
Na -1.379 6.290 7.744
P -3.470 1.066 5.722
P -3.868 5.108 8.851
H 0.000 0.000 0.000
H -0.415 4.048 3.117
```

Summary:
- final energy (eV/atom) = -2.308
- total moment (Bohr magnetons per cell) = 0.00
- DOS(E_F) (states/eV/cell) = 4.68

---

# 3
Computed, not measured: an optimized crystal structure of Na3La2TbSe6 at the GGA-PBE level of DFT.

Structure (extended XYZ):
```
12
Lattice="7.467 -0.001 0.000 -3.733 6.467 0.000 -1.246 -2.158 6.978" Properties=species:S:1:pos:R:3 pbc="T T T"
Na -2.490 4.310 3.489
Na 4.978 -0.003 3.489
Na 1.244 2.154 3.489
La 0.001 4.311 0.000
La 3.733 2.155 0.000
Tb 0.000 0.000 0.000
Se 3.694 2.219 5.335
Se 2.529 4.378 1.631
Se -1.206 2.088 1.643
Se 0.076 4.309 5.335
Se -0.041 -0.071 5.347
Se 2.412 -0.001 1.643
```

Summary:
- final energy (eV/atom) = -5.016
- formation energy without anion corrections (meV per atom) = -1736
- total moment (Bohr magnetons per cell) = 0.00
- DOS(E_F) (states/eV/cell) = 0.00

---

# 4
Computed, not measured: an optimized crystal structure of Nd2Zn6Ag3 at the GGA-PBE level of DFT.

Structure (extended XYZ):
```
11
Lattice="-1.497 3.761 -0.012 -7.019 -2.793 0.150 1.118 0.470 7.458" Properties=species:S:1:pos:R:3 pbc="T T T"
Nd -1.243 -0.477 5.338
Nd -4.659 -1.846 2.270
Zn -2.999 0.995 2.895
Zn -4.399 0.443 4.700
Zn -0.651 1.928 2.645
Zn -6.748 -0.490 4.950
Zn -3.191 0.910 0.364
Zn -4.208 0.528 7.231
Ag -1.220 -0.480 1.573
Ag -4.681 -1.843 6.035
Ag -0.748 1.881 -0.006
```

Summary:
- final energy (eV/atom) = -2.483
- total moment (Bohr magnetons per cell) = 0.00
- ΔH_f (0 K) (eV per atom) = -0.144
- DOS(E_F) (states/eV/cell) = 5.88

---

# 5
Computed, not measured: an optimized crystal structure of Cd2CoCu at the GGA-PBE level of DFT.

Structure (extended XYZ):
```
4
Lattice="5.206 -0.005 0.005 4.408 2.769 0.005 1.510 0.434 4.472" Properties=species:S:1:pos:R:3 pbc="T T T"
Cd 1.577 0.453 4.245
Cd 2.688 0.773 1.378
Co 5.311 1.527 2.108
Cu 8.618 2.478 3.464
```

Summary:
- final energy (eV/atom) = -3.038
- total moment (Bohr magnetons per cell) = 1.37
- ΔH_f (0 K) (eV per atom) = 0.221
- distance to the lowest polymorph of the same formula (kJ/mol of atoms) = 0.8
- DOS(E_F) (states/eV/cell) = 2.77

---

# 6
Computed, not measured: an optimized crystal structure of Cs3Pr2ThTe6 at the GGA-PBE level of DFT.

Structure (extended XYZ):
```
12
Lattice="8.046 0.000 0.001 -4.022 6.969 0.001 -1.342 -2.323 9.017" Properties=species:S:1:pos:R:3 pbc="T T T"
Cs -2.654 4.630 4.509
Cs 5.337 0.015 4.509
Cs 1.342 2.323 4.509
Pr 0.005 4.644 0.001
Pr 4.020 2.325 0.001
Th 0.000 0.000 0.000
Te 3.998 2.369 7.237
Te 2.711 4.693 1.790
Te -1.315 2.277 1.781
Te 0.054 4.647 7.237
Te -0.027 -0.048 7.228
Te 2.629 -0.001 1.781
```

Summary:
- final energy (eV/atom) = -4.540
- formation energy without anion corrections (meV per atom) = -1341
- total moment (Bohr magnetons per cell) = 0.00
- DOS(E_F) (states/eV/cell) = 4.90

---

# 7
Computed, not measured: an optimized crystal structure of TbHoGa3 at the GGA-PBE level of DFT.

Structure (extended XYZ):
```
10
Lattice="-3.755 1.770 0.366 -1.203 -3.079 2.554 4.749 8.260 8.779" Properties=species:S:1:pos:R:3 pbc="T T T"
Tb -0.335 1.420 1.554
Tb 0.128 5.531 10.145
Ho 0.915 2.879 7.319
Ho -1.122 4.071 4.380
Ga 2.217 5.555 7.742
Ga -2.425 1.396 3.957
Ga 3.010 6.839 9.664
Ga -3.218 0.111 2.035
Ga -0.130 5.679 6.787
Ga -0.078 1.271 4.912
```

Summary:
- final energy (eV/atom) = -4.302
- total moment (Bohr magnetons per cell) = 0.01
- ΔH_f (0 K) (eV per atom) = -0.644
- DOS(E_F) (states/eV/cell) = 6.52

---

# 8
Computed, not measured: an optimized crystal structure of SrInMo2 at the GGA-PBE level of DFT.

Structure (extended XYZ):
```
4
Lattice="5.918 -0.001 -0.014 -2.844 5.190 -0.014 0.456 0.769 2.689" Properties=species:S:1:pos:R:3 pbc="T T T"
In -1.194 2.980 1.337
Mo 0.000 0.000 0.000
Mo 1.537 2.595 -0.014
Sr 3.187 0.384 1.337
```

Summary:
- final energy (eV/atom) = -5.634
- total moment (Bohr magnetons per cell) = 0.00
- ΔH_f (0 K) (eV per atom) = 0.887
- DOS(E_F) (states/eV/cell) = 3.47

---

# 9
Computed, not measured: an optimized crystal structure of LaReW2 at the GGA-PBE level of DFT.

Structure (extended XYZ):
```
4
Lattice="-1.455 -3.848 2.432 2.812 -2.768 -2.697 2.408 0.411 2.090" Properties=species:S:1:pos:R:3 pbc="T T T"
La 0.477 -1.719 2.261
Re 2.610 -1.179 -0.303
W 0.000 0.000 0.000
W 0.679 -3.308 -0.132
```

Summary:
- final energy (eV/atom) = -9.962
- total moment (Bohr magnetons per cell) = 0.01
- ΔH_f (0 K) (eV per atom) = 0.859
- distance to the lowest polymorph of the same formula (kJ/mol of atoms) = 41.2
- DOS(E_F) (states/eV/cell) = 3.41

---

# 10
Computed, not measured: an optimized crystal structure of ZnNi5Ir at the GGA-PBE level of DFT.

Structure (extended XYZ):
```
7
Lattice="4.372 -0.059 0.000 -1.479 4.115 0.000 0.000 0.000 4.965" Properties=species:S:1:pos:R:3 pbc="T T T"
Zn 1.447 2.028 2.482
Ni 0.707 4.085 1.220
Ni 3.633 1.998 1.220
Ni 0.000 0.000 2.483
Ni -0.739 2.058 3.744
Ni 2.186 -0.030 3.744
Ir 0.000 0.000 0.000
```

Summary:
- final energy (eV/atom) = -5.526
- total moment (Bohr magnetons per cell) = 0.00
- ΔH_f (0 K) (eV per atom) = 0.052
- distance to the lowest polymorph of the same formula (kJ/mol of atoms) = 0.0
- DOS(E_F) (states/eV/cell) = 6.47

---

# 11
Computed, not measured: an optimized crystal structure of IrRu3 at the GGA-PBE level of DFT.

Structure (extended XYZ):
```
4
Lattice="-2.770 -2.196 3.168 -1.107 -0.624 -4.956 1.105 -2.404 -0.700" Properties=species:S:1:pos:R:3 pbc="T T T"
Ru -0.512 -1.097 -2.390
Ru -0.832 -2.299 1.233
Ru -1.340 -3.396 -1.152
Ir -2.768 -2.194 3.166
```

Summary:
- final energy (eV/atom) = -9.207
- total moment (Bohr magnetons per cell) = 0.00
- ΔH_f (0 K) (eV per atom) = -0.034
- DOS(E_F) (states/eV/cell) = 3.66

---

# 12
Computed, not measured: an optimized crystal structure of VHRu2 at the GGA-PBE level of DFT.

Structure (extended XYZ):
```
4
Lattice="2.782 0.000 0.000 1.391 2.410 0.000 1.391 0.803 6.521" Properties=species:S:1:pos:R:3 pbc="T T T"
Ru 1.391 0.803 1.211
Ru 4.173 2.410 5.311
H 0.000 0.000 0.000
V 2.782 1.606 3.261
```

Summary:
- final energy (eV/atom) = -7.794
- total moment (Bohr magnetons per cell) = 0.00
- distance to the lowest polymorph of the same formula (kJ/mol of atoms) = 0.3
- DOS(E_F) (states/eV/cell) = 3.55

---

# 13
Computed, not measured: an optimized crystal structure of AcSn2Te3 at the GGA-PBE level of DFT.

Structure (extended XYZ):
```
12
Lattice="-0.698 3.783 -2.447 2.093 -4.664 -7.809 -10.531 -4.898 -4.571" Properties=species:S:1:pos:R:3 pbc="T T T"
Ac -7.382 -6.358 -9.850
Ac -1.754 0.579 -4.976
Sn -4.793 -2.616 -4.802
Sn -4.343 -3.163 -10.024
Sn -8.114 -6.311 -13.816
Sn -1.021 0.532 -1.010
Te -5.640 -4.849 -12.261
Te -3.495 -0.930 -2.565
Te -3.529 -1.117 -7.093
Te -5.606 -4.662 -7.734
Te -9.760 -5.367 -7.641
Te 0.624 -0.411 -7.186
```

Summary:
- final energy (eV/atom) = -4.236
- formation energy without anion corrections (meV per atom) = -646
- total moment (Bohr magnetons per cell) = 0.00
- DOS(E_F) (states/eV/cell) = 4.09